No. 1
# Ca3Cd2Ga2Au4

A relaxed Ca3Cd2Ga2Au4 crystal (PBE, the Alexandria database).

Lattice parameters (Å, degrees): 4.669 4.669 13.583 90.00 90.00 120.00
Fractional coordinates of all 11 atoms:
1 Ca 0.000 0.000 0.738
2 Ca 0.000 0.000 0.000
3 Ca 0.000 0.000 0.262
4 Cd 0.667 0.333 0.432
5 Cd 0.333 0.667 0.568
6 Ga 0.667 0.333 0.860
7 Ga 0.333 0.667 0.140
8 Au 0.667 0.333 0.129
9 Au 0.333 0.667 0.871
10 Au 0.667 0.333 0.644
11 Au 0.333 0.667 0.356

For the total moment, the calculation gives 0.00 μB/f.u. As for the energy: -3.03 eV/atom. The formation energy is -576 meV/atom.



No. 2
# Sc4AgH

A relaxed Sc4AgH crystal (PBE, the Alexandria database).

Lattice parameters (Å, degrees): 6.960 6.960 6.960 106.80 106.80 114.96
Fractional coordinates of all 12 atoms:
1 Sc 0.263 0.955 0.692
2 Sc 0.820 0.628 0.808
3 Sc 0.705 0.513 0.192
4 Sc 0.378 0.070 0.308
5 Sc 0.321 0.513 0.808
6 Sc 0.763 0.070 0.692
7 Sc 0.820 0.013 0.192
8 Sc 0.263 0.571 0.308
9 Ag 0.167 0.167 0.000
10 Ag 0.917 0.417 0.500
11 H 0.667 0.667 0.000
12 H 0.417 0.917 0.500

For the total moment, the calculation gives 0.00 μB/f.u. As for the energy: -5.32 eV/atom.



- Which value of energy does entry 2 give?
  -5.32 eV/atom